Compound: V2B2F
Source: Alexandria
Functional: PBE with a Hubbard U
Structure: relaxed Values from VASP.

polymorph energy (0 for the lowest one) = 0 meV/atom
Fermi-level density of states = 3.18 states/eV/cell
DFT total energy = -5.711 eV/atom
SG = P4/mbm (127)

Geometry as Quantum ESPRESSO input:
```
&SYSTEM
  ibrav = 0, nat = 10, ntyp = 3
/
ATOMIC_SPECIES
V 50.94 V.upf
B 10.81 B.upf
F 19.00 F.upf
ATOMIC_POSITIONS crystal
V 0.190 0.310 0.000
V 0.310 0.810 0.000
V 0.690 0.190 0.000
V 0.810 0.690 0.000
B 0.096 0.596 0.500
B 0.404 0.096 0.500
B 0.596 0.904 0.500
B 0.904 0.404 0.500
F 0.000 0.000 0.500
F 0.500 0.500 0.500
CELL_PARAMETERS angstrom
6.023 0.000 0.000
0.000 6.023 0.000
0.000 0.000 2.950
```